(1)
# SmHo2PuSe4, optimized geometry, DFT PBE
data_SmHo2PuSe4
_symmetry_space_group_name_H-M 'P 1 2/m 1'
_symmetry_Int_Tables_number 10
_symmetry_space_group_name_Hall '-P 2y'
_cell_length_a 7.1125
_cell_length_b 4.0828
_cell_length_c 7.1357
_cell_angle_alpha 90.00
_cell_angle_beta 109.11
_cell_angle_gamma 90.00
loop_
_atom_site_label
_atom_site_fract_x
_atom_site_fract_y
_atom_site_fract_z
Sm1 0.0000 0.0000 0.0000
Ho1 0.0000 0.5000 0.5000
Ho2 0.5000 0.0000 0.5000
Pu1 0.5000 0.5000 0.0000
Se1 0.2485 0.0000 0.7418
Se2 0.2544 0.5000 0.2593
# - final energy (eV per cell) = -55.922
# - uncorrected formation energy (eV per formula unit) = -13.8
# - DOS(E_F) (states/eV/atom) = 1.126

---

(2)
# SmHoPu2Se4, optimized geometry, DFT PBE
data_SmHoPu2Se4
_symmetry_space_group_name_H-M 'P 1 2/m 1'
_symmetry_Int_Tables_number 10
_symmetry_space_group_name_Hall '-P 2y'
_cell_length_a 7.1279
_cell_length_b 4.1140
_cell_length_c 7.1924
_cell_angle_alpha 90.00
_cell_angle_beta 109.28
_cell_angle_gamma 90.00
loop_
_atom_site_label
_atom_site_fract_x
_atom_site_fract_y
_atom_site_fract_z
Sm1 0.0000 0.0000 0.0000
Ho1 0.5000 0.5000 0.0000
Pu1 0.0000 0.5000 0.5000
Pu2 0.5000 0.0000 0.5000
Se1 0.2545 0.5000 0.2498
Se2 0.2560 0.0000 0.7540
# - final energy (eV per cell) = -65.291
# - uncorrected formation energy (eV per formula unit) = -13.4
# - DOS(E_F) (states/eV/atom) = 2.274

---

(3)
# Sm2HoPu3Se6, optimized geometry, DFT PBE
data_Sm2HoPu3Se6
_symmetry_space_group_name_H-M 'C 1 2/m 1'
_symmetry_Int_Tables_number 12
_symmetry_space_group_name_Hall '-C 2y'
_cell_length_a 18.0784
_cell_length_b 4.1239
_cell_length_c 8.3051
_cell_angle_alpha 90.00
_cell_angle_beta 103.79
_cell_angle_gamma 90.00
loop_
_atom_site_label
_atom_site_fract_x
_atom_site_fract_y
_atom_site_fract_z
Sm1 0.1670 0.0000 0.3346
Ho1 0.0000 0.5000 0.0000
Pu1 0.0000 0.5000 0.5000
Pu2 0.1682 0.0000 0.8336
Se1 0.0012 0.0000 0.7560
Se2 0.1642 0.5000 0.0802
Se3 0.1657 0.5000 0.5854
# - final energy (eV per cell) = -196.215
# - uncorrected formation energy (eV per formula unit) = -20.2
# - DOS(E_F) (states/eV/atom) = 2.237

---

(4)
# Tb3Ho3PuSe8, optimized geometry, DFT PBE
data_Tb3Ho3PuSe8
_symmetry_space_group_name_H-M 'R -3 m'
_symmetry_Int_Tables_number 166
_symmetry_space_group_name_Hall '-R 3 2"'
_cell_length_a 8.1361
_cell_length_b 8.1361
_cell_length_c 19.9503
_cell_angle_alpha 90.00
_cell_angle_beta 90.00
_cell_angle_gamma 120.00
loop_
_atom_site_label
_atom_site_fract_x
_atom_site_fract_y
_atom_site_fract_z
Tb1 0.0000 0.5000 0.0000
Ho1 0.0000 0.5000 0.5000
Pu1 0.0000 0.0000 0.5000
Se1 0.0000 0.0000 0.2488
Se2 0.0102 0.5051 0.7486
# - final energy (eV per cell) = -289.577
# - uncorrected formation energy (eV per formula unit) = -26.7
# - DOS(E_F) (states/eV/atom) = 1.076

---

(5)
# Tb3HoPu3Se8, optimized geometry, DFT PBE
data_Tb3HoPu3Se8
_symmetry_space_group_name_H-M 'C 1 2/m 1'
_symmetry_Int_Tables_number 12
_symmetry_space_group_name_Hall '-C 2y'
_cell_length_a 14.2201
_cell_length_b 8.2103
_cell_length_c 8.2634
_cell_angle_alpha 90.00
_cell_angle_beta 125.01
_cell_angle_gamma 90.00
loop_
_atom_site_label
_atom_site_fract_x
_atom_site_fract_y
_atom_site_fract_z
Tb1 0.0000 0.0000 0.0000
Tb2 0.2500 0.2500 0.0000
Ho1 0.0000 0.5000 0.0000
Pu1 0.0000 0.5000 0.5000
Pu2 0.2500 0.2500 0.5000
Se1 0.0017 0.2492 0.7558
Se2 0.2483 0.0000 0.2465
Se3 0.2485 0.5000 0.2451
# - final energy (eV per cell) = -231.978
# - uncorrected formation energy (eV per formula unit) = -26.6
# - DOS(E_F) (states/eV/atom) = 1.430

---

(6)
# TbHoPu2Se4, optimized geometry, DFT PBE
data_TbHoPu2Se4
_symmetry_space_group_name_H-M 'P 1 2/m 1'
_symmetry_Int_Tables_number 10
_symmetry_space_group_name_Hall '-P 2y'
_cell_length_a 7.0801
_cell_length_b 4.0905
_cell_length_c 7.1758
_cell_angle_alpha 90.00
_cell_angle_beta 109.23
_cell_angle_gamma 90.00
loop_
_atom_site_label
_atom_site_fract_x
_atom_site_fract_y
_atom_site_fract_z
Tb1 0.0000 0.0000 0.0000
Ho1 0.5000 0.5000 0.0000
Pu1 0.0000 0.5000 0.5000
Pu2 0.5000 0.0000 0.5000
Se1 0.2500 0.5000 0.2452
Se2 0.2536 0.0000 0.7560
# - final energy (eV per cell) = -65.157
# - uncorrected formation energy (eV per formula unit) = -13.3
# - DOS(E_F) (states/eV/atom) = 2.219